Record 1
Er12FeBi6, relaxed, DFT PBE; spin magnetization = 0.0 μB per cell; VASP energy = -4.95 eV per atom
1.0
8.5575 -0.0746 -0.0894
-1.3711 8.4473 -0.0894
-1.3711 -1.5975 8.2953
Er Fe Bi
12 1 6
Direct
0.7957 0.5891 0.4626
0.4626 0.7957 0.5891
0.5891 0.4626 0.7957
0.2043 0.4109 0.5374
0.5374 0.2043 0.4109
0.4109 0.5374 0.2043
0.0540 0.0013 0.3016
0.9987 0.6984 0.9460
0.6984 0.9460 0.9987
0.9460 0.9987 0.6984
0.0013 0.3016 0.0540
0.3016 0.0540 0.0013
0.0000 0.0000 0.0000
0.6789 0.8853 0.3473
0.6527 0.3211 0.1147
0.1147 0.6527 0.3211
0.3211 0.1147 0.6527
0.3473 0.6789 0.8853
0.8853 0.3473 0.6789

Record 2
K3Na12Sr, relaxed, DFT PBE; spin magnetization = 0.0 μB per cell; VASP energy = -1.26 eV per atom
1.0
-0.6708 5.2414 1.7954
1.5723 -1.5540 5.1243
21.7547 4.5932 -5.2819
K Na Sr
3 12 1
Direct
0.0000 0.0000 0.2485
0.0000 0.0000 0.5000
0.0000 0.0000 0.7515
0.5000 0.5000 0.0000
0.5000 0.5000 0.2532
0.5000 0.5000 0.5000
0.5000 0.5000 0.7468
0.5000 0.0000 0.1238
0.5000 0.0000 0.3750
0.5000 0.0000 0.6250
0.5000 0.0000 0.8762
0.0000 0.5000 0.1238
0.0000 0.5000 0.3750
0.0000 0.5000 0.6250
0.0000 0.5000 0.8762
0.0000 0.0000 0.0000

Computed energy relative to the elements (eV/atom) in order:
-0.400; 0.041